# 1
Material: NiAsBr2
Method: DFT, GGA-PBE
State: optimized geometry

For the excess energy over the best structure of this formula in the dataset, the calculation gives 236 meV/atom. The raw formation energy comes out at -48 meV per atom. As for the total DFT energy (no corrections): -3.4924 eV per atom.

It has space group P4mm (No. 99), with a = 3.4750 Å, b = 3.4750 Å, c = 8.3257 Å, α = 90.00°, β = 90.00° and γ = 90.00°. The asymmetric unit holds Ni at (0.0000, 0.0000, 0.0000), As at (0.5000, 0.5000, 0.9433), Br at (0.0000, 0.0000, 0.2751) and Br at (0.5000, 0.5000, 0.6604).

# 2
Material: NiAsBr2
Method: DFT, GGA-PBE
State: optimized geometry

For the excess energy over the best structure of this formula in the dataset, the calculation gives 727 meV/atom. The raw formation energy comes out at 443 meV per atom. As for the total DFT energy (no corrections): -3.0015 eV per atom.

It has space group Fmmm (No. 69), with a = 6.4356 Å, b = 7.4625 Å, c = 7.4934 Å, α = 90.00°, β = 90.00° and γ = 90.00°. The asymmetric unit holds Ni at (0.0000, 0.0000, 0.0000), As at (0.0000, 0.0000, 0.5000) and Br at (0.0000, 0.2500, 0.2500).

# 3
Material: NiAsBr2
Method: DFT, GGA-PBE
State: optimized geometry

For the excess energy over the best structure of this formula in the dataset, the calculation gives 584 meV/atom. The raw formation energy comes out at 299 meV per atom. As for the total DFT energy (no corrections): -3.1448 eV per atom.

It has space group P2/m (No. 10), with a = 3.3427 Å, b = 3.2864 Å, c = 8.5998 Å, α = 90.00°, β = 90.06° and γ = 90.00°. The asymmetric unit holds Ni at (0.0000, 0.0000, 0.0000), As at (0.0000, 0.0000, 0.5000) and Br at (0.0025, 0.5000, 0.8047).

# 4
Material: NiAsBr2
Method: DFT, GGA-PBE
State: optimized geometry

For the excess energy over the best structure of this formula in the dataset, the calculation gives 757 meV/atom. The raw formation energy comes out at 472 meV per atom. As for the total DFT energy (no corrections): -2.9718 eV per atom.

It has space group R-3m (No. 166, hexagonal axes), with a = 3.4546 Å, b = 3.4546 Å, c = 26.8757 Å, α = 90.00°, β = 90.00° and γ = 120.00°. The asymmetric unit holds Ni at (0.0000, 0.0000, 0.0000), As at (0.0000, 0.0000, 0.5000) and Br at (0.0000, 0.0000, 0.0835).

# 5
Material: NiAsBr2
Method: DFT, GGA-PBE
State: optimized geometry

For the excess energy over the best structure of this formula in the dataset, the calculation gives 0 meV/atom. The raw formation energy comes out at -284 meV per atom. As for the total DFT energy (no corrections): -3.7285 eV per atom.

It has space group Cm (No. 8), with a = 6.3913 Å, b = 3.6932 Å, c = 8.4743 Å, α = 90.00°, β = 91.64° and γ = 90.00°. The asymmetric unit holds Ni at (0.0000, 0.0000, 0.0000), As at (0.3285, 0.0000, 0.8748), Br at (0.1729, 0.5000, 0.1759) and Br at (0.3167, 0.0000, 0.5983).

# 6
Material: NiAsBr2
Method: DFT, GGA-PBE
State: optimized geometry

For the excess energy over the best structure of this formula in the dataset, the calculation gives 204 meV/atom. The raw formation energy comes out at -80 meV per atom. As for the total DFT energy (no corrections): -3.5245 eV per atom.

It has space group Pm (No. 6), with a = 4.6846 Å, b = 3.5232 Å, c = 6.7230 Å, α = 90.00°, β = 107.85° and γ = 90.00°. The asymmetric unit holds Ni at (0.0000, 0.0000, 0.0000), As at (0.2676, 0.5000, 0.9442), Br at (0.5699, 0.0000, 0.6897) and Br at (0.8619, 0.5000, 0.2186).